Cd2AgAu6: relaxed, PBE-GGA.

a = 7.578 Å, b = 7.578 Å, c = 7.578 Å
α = 150.24°, β = 111.62°, γ = 76.32°
Fractional coordinates of all 9 atoms:
Cd1 0.165 0.165 0.000
Cd2 0.835 0.835 0.000
Ag1 0.500 0.500 0.000
Au1 0.088 0.334 0.754
Au2 0.251 0.000 0.251
Au3 0.420 0.666 0.754
Au4 0.580 0.334 0.246
Au5 0.749 0.000 0.749
Au6 0.912 0.666 0.246

Calculated values
Its energy above the most stable polymorph in this dataset is 79 meV/atom. For the density of states at the Fermi level, the calculation gives 2.056 states/eV/f.u. Its space group is Immm, No. 71. The formation energy is -31 meV per atom.



Hg2SbAs: relaxed, PBE-GGA.

a = 3.995 Å, b = 3.995 Å, c = 8.499 Å
α = 104.72°, β = 104.72°, γ = 60.40°
Fractional coordinates of all 4 atoms:
Hg1 0.000 0.000 0.000
Hg2 0.246 0.246 0.743
Sb1 0.485 0.485 0.451
As1 0.752 0.752 0.267

Calculated values
The calculation puts the formation energy (no corrections) at 3.5 kJ/mol of atoms. Its energy above the most stable polymorph in this dataset is 0 meV/atom. For the density of states at the Fermi level, the calculation gives 1.443 states/eV/f.u. Its space group is Cm, No. 8.



Rb3TiMo: relaxed, PBE-GGA.

a = 7.081 Å, b = 7.081 Å, c = 7.081 Å
α = 90.00°, β = 90.00°, γ = 90.00°
Fractional coordinates of all 5 atoms:
Rb1 0.000 0.000 0.500
Rb2 0.000 0.500 0.000
Rb3 0.500 0.000 0.000
Ti1 0.500 0.500 0.500
Mo1 0.000 0.000 0.000

Calculated values
Its energy above the most stable polymorph in this dataset is 0 meV/atom. For the density of states at the Fermi level, the calculation gives 12.135 states/eV/f.u. Its space group is Pm-3m, No. 221. The formation energy is 1852 meV per atom.



Te2PCl: relaxed, PBE-GGA.

a = 3.232 Å, b = 3.232 Å, c = 11.163 Å
α = 90.00°, β = 90.00°, γ = 111.36°
Fractional coordinates of all 4 atoms:
Te1 0.000 0.000 0.000
Te2 0.500 0.500 0.314
P1 0.500 0.500 0.819
Cl1 0.000 0.000 0.663

Calculated values
The calculation puts the formation energy (no corrections) at 32.3 kJ/mol of atoms. Its energy above the most stable polymorph in this dataset is 429 meV/atom. For the density of states at the Fermi level, the calculation gives 2.046 states/eV/f.u. Its space group is Cmm2, No. 35.



Li3AgCl: relaxed, PBE-GGA.

a = 4.988 Å, b = 4.988 Å, c = 4.988 Å
α = 90.00°, β = 90.00°, γ = 90.00°
Fractional coordinates of all 5 atoms:
Li1 0.000 0.000 0.500
Li2 0.000 0.500 0.000
Li3 0.500 0.000 0.000
Ag1 0.000 0.000 0.000
Cl1 0.500 0.500 0.500

Calculated values
The calculation puts the formation energy (no corrections) at -24.0 kJ/mol of atoms. Its energy above the most stable polymorph in this dataset is 322 meV/atom. For the density of states at the Fermi level, the calculation gives 2.432 states/eV/f.u. Its space group is Pm-3m, No. 221.



Ce4OsN2: relaxed, PBE-GGA.

a = 7.191 Å, b = 7.191 Å, c = 7.191 Å
α = 110.95°, β = 110.95°, γ = 106.56°
Fractional coordinates of all 14 atoms:
Ce1 0.215 0.285 0.570
Ce2 0.215 0.645 0.930
Ce3 0.285 0.215 0.070
Ce4 0.355 0.785 0.570
Ce5 0.645 0.215 0.430
Ce6 0.715 0.785 0.930
Ce7 0.785 0.355 0.070
Ce8 0.785 0.715 0.430
Os1 0.125 0.875 0.250
Os2 0.875 0.125 0.750
N1 0.000 0.500 0.500
N2 0.500 0.000 0.000
N3 0.500 0.500 0.000
N4 0.500 0.500 0.500

Calculated values
The calculation puts the formation energy (no corrections) at -73.5 kJ/mol of atoms. For the density of states at the Fermi level, the calculation gives 14.384 states/eV/f.u. Its space group is I4_1/amd, No. 141.



YTmPuIn: relaxed, PBE-GGA.

a = 5.385 Å, b = 5.385 Å, c = 5.385 Å
α = 60.00°, β = 60.00°, γ = 60.00°
Fractional coordinates of all 4 atoms:
Y1 0.000 0.000 0.000
Tm1 0.500 0.500 0.500
Pu1 0.750 0.750 0.750
In1 0.250 0.250 0.250

Calculated values
For the density of states at the Fermi level, the calculation gives 13.526 states/eV/f.u. Its space group is F-43m, No. 216. The formation energy is -47 meV per atom.



LuNi2Ag: relaxed, PBE-GGA.

a = 4.120 Å, b = 4.120 Å, c = 3.664 Å
α = 90.00°, β = 90.00°, γ = 90.00°
Fractional coordinates of all 4 atoms:
Lu1 0.000 0.000 0.000
Ni1 0.000 0.500 0.500
Ni2 0.500 0.000 0.500
Ag1 0.500 0.500 0.000

Calculated values
Its energy above the most stable polymorph in this dataset is 0 meV/atom. For the density of states at the Fermi level, the calculation gives 1.157 states/eV/f.u. Its space group is P4/mmm, No. 123. The formation energy is -259 meV per atom.



Tb2Tm4Sc5: relaxed, PBE-GGA.

a = 11.479 Å, b = 11.479 Å, c = 8.276 Å
α = 93.37°, β = 93.37°, γ = 16.76°
Fractional coordinates of all 11 atoms:
Tb1 0.088 0.088 0.196
Tb2 0.912 0.912 0.804
Tm1 0.226 0.226 0.325
Tm2 0.456 0.456 0.162
Tm3 0.544 0.544 0.838
Tm4 0.774 0.774 0.675
Sc1 0.000 0.000 0.500
Sc2 0.312 0.312 0.025
Sc3 0.371 0.371 0.458
Sc4 0.629 0.629 0.542
Sc5 0.688 0.688 0.975

Calculated values
Its energy above the most stable polymorph in this dataset is 14 meV/atom. For the density of states at the Fermi level, the calculation gives 18.567 states/eV/f.u. Its space group is C2/m, No. 12. The formation energy is 141 meV per atom.



SrPC2: relaxed, PBE-GGA.

a = 5.359 Å, b = 5.359 Å, c = 5.359 Å
α = 116.65°, β = 116.65°, γ = 95.90°
Fractional coordinates of all 8 atoms:
Sr1 0.000 0.000 0.000
Sr2 0.750 0.250 0.500
P1 0.250 0.750 0.500
P2 0.500 0.500 0.000
C1 0.266 0.125 0.641
C2 0.375 0.734 0.859
C3 0.484 0.625 0.359
C4 0.875 0.516 0.141

Calculated values
For the density of states at the Fermi level, the calculation gives 2.914 states/eV/f.u. Its space group is I-42d, No. 122. The formation energy is 443 meV per atom.



CaTlBi2Ru: relaxed, PBE-GGA.

a = 5.834 Å, b = 5.834 Å, c = 4.867 Å
α = 90.00°, β = 90.00°, γ = 90.00°
Fractional coordinates of all 5 atoms:
Ca1 0.000 0.000 0.000
Tl1 0.500 0.500 0.500
Bi1 0.000 0.500 0.000
Bi2 0.500 0.000 0.000
Ru1 0.000 0.000 0.500

Calculated values
For the density of states at the Fermi level, the calculation gives 5.565 states/eV/f.u. Its space group is P4/mmm, No. 123. The formation energy is 999 meV per atom.



MnCuTe2: relaxed, PBE-GGA.

a = 4.335 Å, b = 4.335 Å, c = 6.759 Å
α = 104.26°, β = 104.26°, γ = 51.24°
Fractional coordinates of all 4 atoms:
Mn1 0.000 0.000 0.000
Cu1 0.755 0.755 0.169
Te1 0.255 0.255 0.798
Te2 0.501 0.501 0.332

Calculated values
The calculation puts the formation energy (no corrections) at -1.6 kJ/mol of atoms. For the density of states at the Fermi level, the calculation gives 2.254 states/eV/f.u. Its space group is Cm, No. 8.